(1)
Computed, not measured: crystalline SiTe2Pb at its relaxed geometry at the PBE-GGA level of DFT.

Formation energy from raw total energies: 0.34 eV per atom
Total magnetization: 0.000 μB per formula unit
Energy relative to the lowest polymorph listed for this composition: 0.390 eV/atom
Uncorrected energy: -3.5185 eV per atom

POSCAR file:
```
SiTe2Pb
1.0
-2.211 2.211 5.858
2.211 -2.211 5.858
2.211 2.211 -5.858
Si Te Pb
1 2 1
direct
0.000 0.000 0.000
0.250 0.750 0.500
0.500 0.500 0.000
0.750 0.250 0.500
```

=====

(2)
Computed, not measured: crystalline SiTe2Pb at its relaxed geometry at the PBE-GGA level of DFT.

Formation energy from raw total energies: 0.05 eV per atom
Total magnetization: 0.000 μB per formula unit
Energy relative to the lowest polymorph listed for this composition: 0.103 eV/atom
Uncorrected energy: -3.8055 eV per atom

POSCAR file:
```
SiTe2Pb
1.0
1.928 1.113 9.620
-1.928 1.113 9.620
0.000 -2.226 9.620
Si Te Pb
1 2 1
direct
0.000 0.000 0.000
0.388 0.388 0.388
0.612 0.612 0.612
0.500 0.500 0.500
```

=====

(3)
Computed, not measured: crystalline SiTe2Pb at its relaxed geometry at the PBE-GGA level of DFT.

Formation energy from raw total energies: 0.24 eV per atom
Total magnetization: 0.000 μB per formula unit
Energy relative to the lowest polymorph listed for this composition: 0.299 eV/atom
Uncorrected energy: -3.6095 eV per atom

POSCAR file:
```
SiTe2Pb
1.0
3.751 0.000 0.000
0.000 3.751 0.000
0.000 0.000 7.691
Si Te Pb
1 2 1
direct
0.000 0.000 0.000
0.500 0.500 0.220
0.500 0.500 0.780
0.000 0.000 0.500
```

=====

(4)
Computed, not measured: crystalline Si2TePb at its relaxed geometry at the PBE-GGA level of DFT.

Formation energy from raw total energies: 0.57 eV per atom
Total magnetization: 0.000 μB per formula unit
Energy relative to the lowest polymorph listed for this composition: 0.363 eV/atom
Uncorrected energy: -3.8549 eV per atom

POSCAR file:
```
Si2TePb
1.0
-1.828 2.707 4.848
1.828 -2.707 4.848
1.828 2.707 -4.848
Si Te Pb
2 1 1
direct
0.229 0.229 0.000
0.771 0.771 0.000
0.000 0.500 0.500
0.500 0.000 0.500
```

=====

(5)
Computed, not measured: crystalline SiTe4Pb at its relaxed geometry at the PBE-GGA level of DFT.

Formation energy from raw total energies: 0.62 eV per atom
Total magnetization: 0.000 μB per formula unit
Uncorrected energy: -3.0009 eV per atom

POSCAR file:
```
SiTe4Pb
1.0
0.000 4.482 4.482
4.482 0.000 4.482
4.482 4.482 0.000
Si Te Pb
1 4 1
direct
0.000 0.000 0.000
0.124 0.625 0.625
0.625 0.124 0.625
0.625 0.625 0.124
0.625 0.625 0.625
0.250 0.250 0.250
```

=====

(6)
Computed, not measured: crystalline SiTe2Pb at its relaxed geometry at the PBE-GGA level of DFT.

Formation energy from raw total energies: 0.15 eV per atom
Total magnetization: 0.000 μB per formula unit
Energy relative to the lowest polymorph listed for this composition: 0.204 eV/atom
Uncorrected energy: -3.7049 eV per atom

POSCAR file:
```
SiTe2Pb
1.0
4.180 0.000 0.000
0.000 3.879 0.000
-1.742 0.000 7.379
Si Te Pb
1 2 1
direct
0.000 0.000 0.000
0.090 0.500 0.759
0.910 0.500 0.241
0.500 0.000 0.500
```